(1)
Here is ZrTlAgO3 after structural relaxation from OQMD via LeMat-Bulk. Energies are from PBE-GGA.

Results
V = 17.0 A^3/atom
crystal system = orthorhombic
total magnetization = 0.005 μB/f.u.
final energy = -6.53 eV/atom

Cell lengths 9.175, 3.300, 13.507 Å; angles 90.00, 90.00, 90.00 degrees
Atoms (fractional coordinates):
Ag 0.470 0.000 0.088
Ag 0.970 0.500 0.412
Ag 0.030 0.000 0.588
Ag 0.530 0.500 0.912
O 0.246 0.000 0.066
O 0.961 0.500 0.077
O 0.692 0.000 0.129
O 0.192 0.500 0.371
O 0.461 0.000 0.423
O 0.746 0.500 0.434
O 0.254 0.000 0.566
O 0.539 0.500 0.577
O 0.808 0.000 0.629
O 0.308 0.500 0.871
O 0.039 0.000 0.923
O 0.754 0.500 0.934
Tl 0.101 0.000 0.236
Tl 0.601 0.500 0.264
Tl 0.399 0.000 0.736
Tl 0.899 0.500 0.764
Zr 0.839 0.000 0.020
Zr 0.339 0.500 0.480
Zr 0.661 0.000 0.520
Zr 0.161 0.500 0.980

(2)
Here is Tm3AgO6 after structural relaxation from OQMD via LeMat-Bulk. Energies are from PBE-GGA.

Results
V = 12.9 A^3/atom
crystal system = triclinic
total magnetization = 0.000 μB/f.u.
final energy = -7.35 eV/atom

Cell lengths 3.484, 5.472, 6.943 Å; angles 89.66, 76.88, 88.70 degrees
Atoms (fractional coordinates):
Ag 0.000 0.000 0.000
O 0.173 0.678 0.105
O 0.136 0.201 0.216
O 0.525 0.744 0.468
O 0.475 0.256 0.532
O 0.864 0.799 0.784
O 0.827 0.322 0.895
Tm 0.618 0.468 0.236
Tm 0.000 0.000 0.500
Tm 0.382 0.532 0.764

(3)
Here is YAgO2 after structural relaxation from OQMD via LeMat-Bulk. Energies are from PBE-GGA.

Results
V = 14.7 A^3/atom
crystal system = orthorhombic
total magnetization = 0.000 μB/f.u.
final energy = -6.99 eV/atom

Cell lengths 3.491, 5.868, 11.515 Å; angles 90.00, 90.00, 90.00 degrees
Atoms (fractional coordinates):
Ag 0.721 0.239 0.096
Ag 0.279 0.739 0.404
Ag 0.779 0.761 0.596
Ag 0.221 0.261 0.904
O 0.738 0.584 0.042
O 0.740 0.959 0.216
O 0.260 0.459 0.284
O 0.262 0.084 0.458
O 0.762 0.416 0.542
O 0.760 0.041 0.716
O 0.240 0.541 0.784
O 0.238 0.916 0.958
Y 0.238 0.743 0.139
Y 0.762 0.243 0.361
Y 0.262 0.257 0.639
Y 0.738 0.757 0.861

(4)
Here is YAgO after structural relaxation from OQMD via LeMat-Bulk. Energies are from PBE-GGA.

Results
V = 18.5 A^3/atom
crystal system = tetragonal
total magnetization = 0.003 μB/f.u.
final energy = -6.77 eV/atom

Cell lengths 3.864, 3.864, 7.449 Å; angles 90.00, 90.00, 90.00 degrees
Atoms (fractional coordinates):
Ag 0.000 0.500 0.436
Ag 0.500 0.000 0.564
O 0.000 0.000 0.000
O 0.500 0.500 0.000
Y 0.500 0.000 0.150
Y 0.000 0.500 0.850

(5)
Here is Y2AgO4 after structural relaxation from OQMD via LeMat-Bulk. Energies are from PBE-GGA.

Results
V = 15.7 A^3/atom
crystal system = cubic
total magnetization = 0.998 μB/f.u.
final energy = -7.43 eV/atom

Cell lengths 6.775, 6.775, 6.775 Å; angles 119.99, 90.01, 119.99 degrees
Each line ends with the local moment (μB).
Atoms (fractional coordinates):
Ag 0.000 0.000 0.000  0.32
Ag 0.750 0.500 0.250  0.33
O 0.611 0.223 0.389  0.17
O 0.166 0.777 0.389  0.12
O 0.611 0.777 0.389  0.12
O 0.139 0.277 0.416  0.16
O 0.611 0.223 0.834  0.16
O 0.139 0.723 0.861  0.12
O 0.139 0.277 0.861  0.17
O 0.584 0.723 0.861  0.12
Y 0.375 0.750 0.125  -0.01
Y 0.375 0.750 0.625  -0.01
Y 0.875 0.250 0.625  -0.01
Y 0.375 0.250 0.625  -0.01

(6)
Here is Zn2AgO4 after structural relaxation from OQMD via LeMat-Bulk. Energies are from PBE-GGA.

Results
V = 11.7 A^3/atom
crystal system = cubic
final energy = -4.13 eV/atom

Cell lengths 6.148, 6.148, 6.148 Å; angles 119.99, 90.01, 119.99 degrees
Atoms (fractional coordinates):
Ag 0.000 0.000 0.000
Ag 0.750 0.500 0.250
O 0.167 0.778 0.389
O 0.611 0.222 0.389
O 0.611 0.778 0.389
O 0.139 0.278 0.417
O 0.611 0.222 0.833
O 0.139 0.722 0.861
O 0.139 0.278 0.861
O 0.583 0.722 0.861
Zn 0.375 0.750 0.125
Zn 0.875 0.250 0.625
Zn 0.375 0.750 0.625
Zn 0.375 0.250 0.625

(7)
Here is ZnAg2O2 after structural relaxation from OQMD via LeMat-Bulk. Energies are from PBE-GGA.

Results
V = 14.9 A^3/atom
crystal system = orthorhombic
final energy = -3.77 eV/atom

Cell lengths 5.601, 6.447, 8.267 Å; angles 90.00, 90.00, 90.00 degrees
Atoms (fractional coordinates):
Ag 0.527 0.535 0.163
Ag 0.953 0.787 0.174
Ag 0.047 0.287 0.326
Ag 0.473 0.035 0.337
Ag 0.973 0.465 0.663
Ag 0.547 0.213 0.674
Ag 0.453 0.713 0.826
Ag 0.027 0.965 0.837
O 0.215 0.322 0.081
O 0.344 0.837 0.114
O 0.656 0.337 0.386
O 0.785 0.822 0.419
O 0.285 0.678 0.581
O 0.156 0.163 0.614
O 0.844 0.663 0.886
O 0.715 0.178 0.919
Zn 0.420 0.096 0.012
Zn 0.580 0.596 0.488
Zn 0.080 0.904 0.512
Zn 0.920 0.404 0.988

(8)
Here is Zn2Ag2O5 after structural relaxation from OQMD via LeMat-Bulk. Energies are from PBE-GGA.

Results
V = 12.0 A^3/atom
crystal system = tetragonal
final energy = -3.95 eV/atom

Cell lengths 8.054, 3.660, 3.660 Å; angles 90.00, 90.00, 90.00 degrees
Atoms (fractional coordinates):
Ag 0.000 0.000 0.000
Ag 0.500 0.000 0.000
O 0.165 0.500 0.000
O 0.835 0.500 0.000
O 0.165 0.000 0.500
O 0.835 0.000 0.500
O 0.500 0.500 0.500
Zn 0.257 0.500 0.500
Zn 0.743 0.500 0.500

(9)
Here is Zn2Ag2O5 after structural relaxation from OQMD via LeMat-Bulk. Energies are from PBE-GGA.

Results
V = 13.2 A^3/atom
crystal system = tetragonal
final energy = -3.65 eV/atom

Cell lengths 8.250, 3.789, 3.789 Å; angles 90.00, 90.00, 90.00 degrees
Atoms (fractional coordinates):
Ag 0.227 0.500 0.500
Ag 0.773 0.500 0.500
O 0.153 0.500 0.000
O 0.847 0.500 0.000
O 0.153 0.000 0.500
O 0.847 0.000 0.500
O 0.500 0.500 0.500
Zn 0.000 0.000 0.000
Zn 0.500 0.000 0.000

(10)
Here is Zr2Ag2O5 after structural relaxation from OQMD via LeMat-Bulk. Energies are from PBE-GGA.

Results
V = 12.5 A^3/atom
crystal system = tetragonal
total magnetization = 0.005 μB/f.u.
final energy = -6.06 eV/atom

Cell lengths 6.588, 4.135, 4.135 Å; angles 90.00, 90.00, 90.00 degrees
Atoms (fractional coordinates):
Ag 0.189 0.500 0.500
Ag 0.811 0.500 0.500
O 0.210 0.500 0.000
O 0.790 0.500 0.000
O 0.210 0.000 0.500
O 0.790 0.000 0.500
O 0.500 0.500 0.500
Zr 0.000 0.000 0.000
Zr 0.500 0.000 0.000

(11)
Here is Zr2AgO4 after structural relaxation from OQMD via LeMat-Bulk. Energies are from PBE-GGA.

Results
V = 14.4 A^3/atom
crystal system = cubic
total magnetization = 0.012 μB/f.u.
final energy = -8.07 eV/atom

Cell lengths 6.577, 6.577, 6.577 Å; angles 119.99, 90.02, 119.99 degrees
Atoms (fractional coordinates):
Ag 0.000 0.000 0.000
Ag 0.750 0.500 0.250
O 0.606 0.212 0.394
O 0.182 0.788 0.394
O 0.606 0.788 0.394
O 0.144 0.288 0.432
O 0.606 0.212 0.818
O 0.144 0.712 0.856
O 0.144 0.288 0.856
O 0.568 0.712 0.856
Zr 0.375 0.750 0.125
Zr 0.875 0.250 0.625
Zr 0.375 0.250 0.625
Zr 0.375 0.750 0.625

(12)
Here is Zr2Ag2O5 after structural relaxation from OQMD via LeMat-Bulk. Energies are from PBE-GGA.

Results
V = 14.8 A^3/atom
crystal system = tetragonal
total magnetization = 0.008 μB/f.u.
final energy = -7.26 eV/atom

Cell lengths 8.254, 4.014, 4.014 Å; angles 90.00, 90.00, 90.00 degrees
Atoms (fractional coordinates):
Ag 0.000 0.000 0.000
Ag 0.500 0.000 0.000
O 0.202 0.500 0.000
O 0.798 0.500 0.000
O 0.202 0.000 0.500
O 0.798 0.000 0.500
O 0.500 0.500 0.500
Zr 0.256 0.500 0.500
Zr 0.744 0.500 0.500

(13)
Here is AgOs after structural relaxation from OQMD via LeMat-Bulk. Energies are from PBE-GGA.

Results
V = 15.6 A^3/atom
crystal system = hexagonal
energy relative to the elements = 720 meV/atom
total magnetization = 0.027 μB/f.u.
final energy = -6.30 eV/atom

Cell lengths 2.740, 2.740, 4.812 Å; angles 90.00, 90.00, 120.00 degrees
Atoms (fractional coordinates):
Ag 0.667 0.333 0.750
Os 0.333 0.667 0.250

(14)
Here is Ag3Os11 after structural relaxation from OQMD via LeMat-Bulk. Energies are from PBE-GGA.

Results
V = 16.1 A^3/atom
crystal system = monoclinic
energy relative to the elements = 755 meV/atom
total magnetization = 0.022 μB/f.u.
final energy = -8.67 eV/atom

Cell lengths 8.256, 8.256, 3.943 Å; angles 90.03, 90.03, 57.25 degrees
Atoms (fractional coordinates):
Ag 0.970 0.970 0.071
Ag 0.234 0.234 0.072
Ag 0.645 0.645 0.570
Os 0.469 0.469 0.068
Os 0.851 0.355 0.069
Os 0.355 0.851 0.069
Os 0.931 0.604 0.072
Os 0.604 0.931 0.072
Os 0.733 0.254 0.569
Os 0.254 0.733 0.569
Os 0.102 0.102 0.571
Os 0.847 0.847 0.572
Os 0.490 0.172 0.572
Os 0.172 0.490 0.572

(15)
Here is AgOs after structural relaxation from OQMD via LeMat-Bulk. Energies are from PBE-GGA.

Results
V = 15.6 A^3/atom
crystal system = cubic
energy relative to the elements = 1240 meV/atom
total magnetization = 0.023 μB/f.u.
final energy = -5.79 eV/atom

Cell lengths 3.149, 3.149, 3.149 Å; angles 90.00, 90.00, 90.00 degrees
Atoms (fractional coordinates):
Ag 0.000 0.000 0.000
Os 0.500 0.500 0.500

(16)
Here is AgOs after structural relaxation from OQMD via LeMat-Bulk. Energies are from PBE-GGA.

Results
V = 24.8 A^3/atom
crystal system = cubic
energy relative to the elements = 2804 meV/atom
total magnetization = 1.997 μB/f.u.
final energy = -4.22 eV/atom

Cell lengths 4.125, 4.125, 4.125 Å; angles 60.00, 60.00, 60.00 degrees
Each line ends with the local moment (μB).
Atoms (fractional coordinates):
Ag 0.000 0.000 0.000  0.18
Os 0.250 0.250 0.250  1.73

(17)
Here is AgOs2 after structural relaxation from OQMD via LeMat-Bulk. Energies are from PBE-GGA.

Results
V = 66.6 A^3/atom
crystal system = cubic
energy relative to the elements = 4647 meV/atom
total magnetization = 6.869 μB/f.u.
final energy = -3.78 eV/atom

Cell lengths 8.266, 8.266, 8.266 Å; angles 60.00, 60.00, 60.00 degrees
Each line ends with the local moment (μB).
Atoms (fractional coordinates):
Ag 0.250 0.250 0.250  0.19
Ag 0.500 0.500 0.500  0.19
Os 0.375 0.375 0.375  3.02
Os 0.875 0.375 0.375  2.72
Os 0.375 0.875 0.375  2.97
Os 0.375 0.375 0.875  3.06

(18)
Here is AgOs after structural relaxation from OQMD via LeMat-Bulk. Energies are from PBE-GGA.

Results
V = 18.6 A^3/atom
crystal system = cubic
energy relative to the elements = 2108 meV/atom
total magnetization = 1.773 μB/f.u.
final energy = -4.92 eV/atom

Cell lengths 3.747, 3.747, 3.747 Å; angles 60.00, 60.00, 60.00 degrees
Each line ends with the local moment (μB).
Atoms (fractional coordinates):
Ag 0.000 0.000 0.000  0.06
Os 0.500 0.500 0.500  1.67

(19)
Here is Ag2Os after structural relaxation from OQMD via LeMat-Bulk. Energies are from PBE-GGA.

Results
V = 15.7 A^3/atom
crystal system = tetragonal
energy relative to the elements = 728 meV/atom
total magnetization = 0.100 μB/f.u.
final energy = -4.90 eV/atom

Cell lengths 6.223, 6.223, 6.223 Å; angles 153.76, 153.76, 37.45 degrees
Each line ends with the local moment (μB).
Atoms (fractional coordinates):
Ag 0.334 0.334 0.000  0.00
Ag 0.666 0.666 0.000  0.00
Os 0.000 0.000 0.000  0.09

(20)
Here is Ag2P2Os after structural relaxation from OQMD via LeMat-Bulk. Energies are from PBE-GGA.

Results
V = 17.3 A^3/atom
crystal system = trigonal
total magnetization = 0.002 μB/f.u.
final energy = -5.26 eV/atom

Cell lengths 3.780, 3.780, 6.979 Å; angles 90.00, 90.00, 120.00 degrees
Atoms (fractional coordinates):
Ag 0.667 0.333 0.373
Ag 0.333 0.667 0.627
Os 0.000 0.000 0.000
P 0.333 0.667 0.152
P 0.667 0.333 0.848